No. 1
The following is a PBE calculation of a relaxed BaErPd crystal, from Alexandria.

POSCAR file:
```
BaErPd
1.0
5.010 0.000 0.000
0.000 5.010 0.000
0.000 0.000 7.673
Ba Er Pd
2 2 2
direct
0.250 0.250 0.122
0.750 0.750 0.878
0.250 0.750 0.500
0.750 0.250 0.500
0.250 0.250 0.681
0.750 0.750 0.319
```

ΔH_f (0 K) ... -1.578 eV per formula unit
Theoretical density ... 7.1 Mg/m³
Crystal system ... tetragonal


No. 2
The following is a PBE calculation of a relaxed BaEr2PdS4 crystal, from Alexandria.

POSCAR file:
```
BaEr2PdS4
1.0
2.008 -6.699 0.000
2.008 6.699 0.000
0.000 0.000 13.735
Ba Er Pd S
2 4 2 8
direct
0.116 0.884 0.750
0.884 0.116 0.250
0.367 0.633 0.570
0.367 0.633 0.930
0.633 0.367 0.070
0.633 0.367 0.430
0.157 0.843 0.250
0.843 0.157 0.750
0.000 0.000 0.000
0.000 0.000 0.500
0.267 0.733 0.105
0.267 0.733 0.395
0.447 0.553 0.750
0.553 0.447 0.250
0.733 0.267 0.605
0.733 0.267 0.895
```

Energy relative to the elements, uncorrected ... -1833.4 meV/atom
Theoretical density ... 6.4 Mg/m³
Crystal system ... orthorhombic